Here is BiPd after structural relaxation from Alexandria. Energies are from PBE. Values from VASP.

Properties
For the total magnetization, the calculation gives 0.00 μB/atom. For the formation energy, the calculation gives -0.18 eV per atom.

```
&SYSTEM
  ibrav = 0, nat = 16, ntyp = 2
/
ATOMIC_SPECIES
Bi 208.98 Bi.upf
Pd 106.42 Pd.upf
CELL_PARAMETERS angstrom
-7.652 4.342 -4.353
-5.616 -2.108 7.770
1.075 3.672 1.773
ATOMIC_POSITIONS angstrom
Bi -6.574 -0.933 5.919
Bi -6.695 3.168 -2.502
Bi -2.106 0.070 1.133
Bi -11.163 2.165 2.284
Bi -7.054 4.127 0.743
Bi -5.140 1.779 4.447
Bi -8.203 3.023 3.728
Bi -3.991 2.884 1.462
Pd -3.735 1.538 -0.920
Pd -9.534 0.697 4.337
Pd -9.100 3.006 -0.709
Pd -4.169 -0.772 4.126
Pd -9.832 4.491 1.675
Pd -2.362 1.416 3.515
Pd -7.545 1.617 6.239
Pd -4.649 4.289 -1.049
```